1.
A plane-wave DFT calculation with PBE was carried out for an optimized crystal structure of Cs2GaCI6.

Calculated values
- Mass density: 5.00 g/cm3
- Spin magnetization: 0.0 μB/cell
- Crystal system: cubic
- E_form (uncorrected): -0.239 eV/atom
- Density of states at the Fermi level: 3.5 states/eV per cell

abc: 8.047 8.047 8.047
angles: 60.00 60.00 90.00
Atoms (fractional coordinates):
Cs 0.750 0.250 0.500
I 0.740 0.740 0.520
C 0.500 0.500 0.000
I 0.260 0.260 0.000
I 0.740 0.260 0.000
I 0.260 0.260 0.480
Cs 0.250 0.750 0.500
I 0.260 0.740 0.000
I 0.740 0.740 0.000
Ga 0.000 0.000 0.000


2.
A plane-wave DFT calculation with PBE was carried out for an optimized crystal structure of CsTi2GaC.

Calculated values
- Mass density: 4.37 g/cm3
- Energy of formation: 60.91 kcal/mol of atoms
- Spin magnetization: 3.0 μB/cell
- Crystal system: tetragonal
- Density of states at the Fermi level: 6.0 states/eV per cell

abc: 5.185 4.388 5.185
angles: 90.00 90.00 90.00
Atoms (fractional coordinates):
Ti 0.500 0.000 0.000
Cs 0.000 0.000 0.000
C 0.000 0.500 0.000
Ti 0.000 0.000 0.500
Ga 0.500 0.500 0.500